Material: TbCr2IO8
Method: DFT, PBE with a Hubbard U
State: optimized geometry

## Properties
Calculated volume (Å³ per cell): 145.0
Raw total energy (eV per atom): -6.62

Lattice parameters (Å, degrees): 4.715 6.524 4.716 90.00 90.46 90.00
Element x y z (fractional)
Tb 0.000 0.000 0.000
Cr 0.500 0.246 0.500
Cr 0.500 0.754 0.500
I 0.000 0.500 0.000
O 0.194 0.285 0.193
O 0.194 0.715 0.193
O 0.289 0.500 0.709
O 0.324 0.000 0.674
O 0.676 0.000 0.326
O 0.711 0.500 0.291
O 0.806 0.285 0.807
O 0.806 0.715 0.807

***

Material: CrTcI2O
Method: DFT, PBE with a Hubbard U
State: optimized geometry

## Properties
E above lowest polymorph (eV/atom): 0.0000
Calculated volume (Å³ per cell): 119.3
Raw total energy (eV per atom): -5.36

Lattice parameters (Å, degrees): 5.634 5.634 3.760 90.00 90.00 90.00
Element x y z (fractional)
Cr 0.000 0.000 0.000
Tc 0.500 0.500 0.500
I 0.000 0.500 0.500
I 0.500 0.000 0.500
O 0.500 0.500 0.000

***

Material: CrTcI2O
Method: DFT, PBE with a Hubbard U
State: optimized geometry

## Properties
E above lowest polymorph (eV/atom): 0.8138
Calculated volume (Å³ per cell): 106.6
Raw total energy (eV per atom): -4.54

Lattice parameters (Å, degrees): 5.475 5.475 3.557 90.00 90.00 90.00
Element x y z (fractional)
Cr 0.000 0.000 0.000
Tc 0.500 0.500 0.500
I 0.000 0.500 0.000
I 0.500 0.000 0.000
O 0.000 0.000 0.500

***

Material: CrTeI2O
Method: DFT, PBE with a Hubbard U
State: optimized geometry

## Properties
E above lowest polymorph (eV/atom): 0.3689
Calculated volume (Å³ per cell): 128.8
Raw total energy (eV per atom): -3.40

Lattice parameters (Å, degrees): 5.303 5.303 4.580 90.00 90.00 90.00
Element x y z (fractional)
Cr 0.000 0.000 0.000
Te 0.500 0.500 0.000
I 0.000 0.500 0.500
I 0.500 0.000 0.500
O 0.500 0.500 0.500

***

Material: CrTeI2O
Method: DFT, PBE with a Hubbard U
State: optimized geometry

## Properties
E above lowest polymorph (eV/atom): 1.2163
Calculated volume (Å³ per cell): 150.5
Raw total energy (eV per atom): -2.55

Lattice parameters (Å, degrees): 5.434 5.434 5.099 90.00 90.00 90.00
Element x y z (fractional)
Cr 0.000 0.000 0.000
Te 0.000 0.000 0.500
I 0.000 0.500 0.000
I 0.500 0.000 0.000
O 0.500 0.500 0.500

***

Material: CrTe2IO
Method: DFT, PBE with a Hubbard U
State: optimized geometry

## Properties
E above lowest polymorph (eV/atom): 0.0000
Calculated volume (Å³ per cell): 146.5
Raw total energy (eV per atom): -3.95

Lattice parameters (Å, degrees): 4.448 4.448 7.405 90.00 90.00 90.00
Element x y z (fractional)
Cr 0.000 0.000 0.000
Te 0.000 0.500 0.500
Te 0.500 0.000 0.500
I 0.500 0.500 0.000
O 0.500 0.500 0.500

***

Material: CrTe2IO
Method: DFT, PBE with a Hubbard U
State: optimized geometry

## Properties
E above lowest polymorph (eV/atom): 0.6499
Calculated volume (Å³ per cell): 163.7
Raw total energy (eV per atom): -3.30

Lattice parameters (Å, degrees): 5.330 5.330 5.763 90.00 90.00 90.00
Element x y z (fractional)
Cr 0.000 0.000 0.000
Te 0.000 0.500 0.000
Te 0.500 0.000 0.000
I 0.000 0.000 0.500
O 0.500 0.500 0.500

***

Material: CrTeIO2
Method: DFT, PBE with a Hubbard U
State: optimized geometry

## Properties
E above lowest polymorph (eV/atom): 0.1301
Calculated volume (Å³ per cell): 117.8
Raw total energy (eV per atom): -4.59

Lattice parameters (Å, degrees): 4.035 4.035 7.232 90.00 90.00 90.00
Element x y z (fractional)
Cr 0.000 0.000 0.000
Te 0.500 0.500 0.500
I 0.000 0.000 0.500
O 0.000 0.500 0.000
O 0.500 0.000 0.000